Record 1
## Li3Nd2Al2 (PBE)

Data for a relaxed Li3Nd2Al2 crystal.

Values from the calculation:
Formation energy from the elements, eV per formula unit: -1.10
Size of the total moment, Bohr magnetons per cell: 0.0
Calculated volume, Å³/atom: 25.0

Cell: 3.5594 4.5226 11.1102 Å, 101.74 90.00 90.00°
Fractional positions:
Al: 0.5000 0.7176 0.4352
Al: 0.5000 0.2824 0.5648
Nd: 0.0000 0.1604 0.3208
Nd: 0.0000 0.8396 0.6792
Li: 0.5000 0.4320 0.8640
Li: 0.5000 0.5680 0.1360
Li: 0.0000 0.0000 0.0000

=====

Record 2
## LiNd2Al3 (PBE)

Data for a relaxed LiNd2Al3 crystal.

Values from the calculation:
Formation energy from the elements, eV per formula unit: -2.26
Size of the total moment, Bohr magnetons per cell: 0.0
Calculated volume, Å³/atom: 21.9

Cell: 5.7625 5.7625 9.1493 Å, 90.00 90.00 120.00°
Fractional positions:
Al: 0.8300 0.6601 0.7500
Al: 0.6601 0.8300 0.2500
Al: 0.3399 0.1700 0.7500
Al: 0.8300 0.1700 0.7500
Al: 0.1700 0.8300 0.2500
Al: 0.1700 0.3399 0.2500
Li: 0.0000 0.0000 0.0000
Li: 0.0000 0.0000 0.5000
Nd: 0.6667 0.3333 0.4257
Nd: 0.3333 0.6667 0.5743
Nd: 0.3333 0.6667 0.9257
Nd: 0.6667 0.3333 0.0743

=====

Record 3
## LiNdAl4 (PBE)

Data for a relaxed LiNdAl4 crystal.

Values from the calculation:
Formation energy from the elements, eV per formula unit: -1.60
Size of the total moment, Bohr magnetons per cell: 0.0
Calculated volume, Å³/atom: 20.3

Cell: 5.5649 5.5649 5.5649 Å, 60.00 60.00 60.00°
Fractional positions:
Al: 0.1238 0.6254 0.6254
Al: 0.6254 0.6254 0.6254
Al: 0.6254 0.6254 0.1237
Al: 0.6254 0.1237 0.6254
Li: 0.2500 0.2500 0.2500
Nd: 0.0000 0.0000 0.0000

=====

Record 4
## LiNd4Al (PBE)

Data for a relaxed LiNd4Al crystal.

Values from the calculation:
Formation energy from the elements, eV per formula unit: -0.46
Size of the total moment, Bohr magnetons per cell: 0.0
Calculated volume, Å³/atom: 29.7
Energy above the most stable polymorph in this dataset, meV per atom: 0

Cell: 3.8025 6.7614 8.6072 Å, 114.60 77.24 73.67°
Fractional positions:
Nd: 0.1734 0.4700 0.1831
Nd: 0.6803 0.9699 0.6695
Nd: 0.8266 0.5300 0.8169
Nd: 0.3197 0.0301 0.3305
Al: 0.5000 0.5000 0.5000
Li: 0.0000 0.0000 0.0000

=====

Record 5
## Li3NdAl3 (PBE)

Data for a relaxed Li3NdAl3 crystal.

Values from the calculation:
Formation energy from the elements, eV per formula unit: 2.63
Size of the total moment, Bohr magnetons per cell: 0.0
Calculated volume, Å³/atom: 22.1

Cell: 6.7625 6.7625 6.7625 Å, 90.00 90.00 90.00°
Fractional positions:
Al: 0.5000 0.2500 0.0000
Al: 0.0000 0.5000 0.2500
Al: 0.2500 0.0000 0.5000
Al: 0.0000 0.5000 0.7500
Al: 0.7500 0.0000 0.5000
Al: 0.5000 0.7500 0.0000
Li: 0.5000 0.0000 0.7500
Li: 0.7500 0.5000 0.0000
Li: 0.5000 0.0000 0.2500
Li: 0.0000 0.7500 0.5000
Li: 0.2500 0.5000 0.0000
Li: 0.0000 0.2500 0.5000
Nd: 0.0000 0.0000 0.0000
Nd: 0.5000 0.5000 0.5000

=====

Record 6
## Li2NdAlO4 (PBE)

Data for a relaxed Li2NdAlO4 crystal.

Values from the calculation:
Final energy, eV per atom: -6.756
Size of the total moment, Bohr magnetons per cell: 0.0
Calculated volume, Å³/atom: 11.1

Cell: 5.1989 4.9370 4.9370 Å, 83.75 58.23 58.23°
Fractional positions:
O: 0.5953 0.5519 0.8528
O: 0.0000 0.4481 0.1472
O: 0.0000 0.8528 0.5519
O: 0.4047 0.1472 0.4481
Al: 0.0000 0.5000 0.5000
Nd: 0.0000 0.0000 0.0000
Li: 0.5000 0.7500 0.2500
Li: 0.5000 0.2500 0.7500

=====

Record 7
## LiNdAlPd3 (PBE)

Data for a relaxed LiNdAlPd3 crystal.

Values from the calculation:
Formation energy from the elements, eV per formula unit: -3.49
Size of the total moment, Bohr magnetons per cell: 0.0
Calculated volume, Å³/atom: 18.0

Cell: 5.9437 5.7699 6.9435 Å, 114.55 90.00 90.00°
Fractional positions:
Pd: 0.5000 0.2471 0.0000
Pd: 0.0000 0.2471 0.0000
Pd: 0.0000 0.7529 0.0000
Pd: 0.5000 0.7529 0.0000
Pd: 0.7500 0.8200 0.6399
Pd: 0.2500 0.1800 0.3601
Li: 0.7500 0.1052 0.2104
Li: 0.2500 0.8948 0.7896
Al: 0.2500 0.3817 0.7634
Al: 0.7500 0.6183 0.2366
Nd: 0.7500 0.3223 0.6447
Nd: 0.2500 0.6777 0.3553

=====

Record 8
## LiNd2AlPd6 (PBE)

Data for a relaxed LiNd2AlPd6 crystal.

Values from the calculation:
Formation energy from the elements, eV per formula unit: -5.83
Size of the total moment, Bohr magnetons per cell: 0.0
Calculated volume, Å³/atom: 19.1

Cell: 5.9357 7.1380 7.1462 Å, 49.09 65.42 89.98°
Fractional positions:
Pd: 0.2443 0.7543 0.0319
Pd: 0.7554 0.7269 0.4889
Pd: 0.7557 0.2457 0.9681
Pd: 0.2753 0.2455 0.9689
Pd: 0.2446 0.2731 0.5111
Pd: 0.7247 0.7545 0.0311
Al: 0.5000 0.5000 0.0000
Nd: 0.2289 0.7719 0.5420
Nd: 0.7711 0.2281 0.4580
Li: 0.0000 0.0000 0.0000

=====

Record 9
## Li2NdAlPd4 (PBE)

Data for a relaxed Li2NdAlPd4 crystal.

Values from the calculation:
Formation energy from the elements, eV per formula unit: -5.39
Size of the total moment, Bohr magnetons per cell: 0.0
Calculated volume, Å³/atom: 16.7

Cell: 4.3817 4.3817 8.4305 Å, 74.94 74.94 60.00°
Fractional positions:
Li: 0.7608 0.7608 0.7174
Li: 0.2392 0.2392 0.2826
Nd: 0.0000 0.0000 0.0000
Pd: 0.6028 0.6028 0.1916
Pd: 0.8690 0.8690 0.3930
Pd: 0.1310 0.1310 0.6070
Pd: 0.3972 0.3972 0.8084
Al: 0.5000 0.5000 0.5000

=====

Record 10
## LiNd2Al4Pd3 (PBE)

Data for a relaxed LiNd2Al4Pd3 crystal.

Values from the calculation:
Formation energy from the elements, eV per formula unit: -7.00
Size of the total moment, Bohr magnetons per cell: 0.0
Calculated volume, Å³/atom: 19.6

Cell: 4.2477 4.2477 10.8704 Å, 90.00 90.00 90.00°
Fractional positions:
Al: 0.5000 0.5000 0.0000
Al: 0.0000 0.0000 0.0000
Al: 0.5000 0.0000 0.6332
Al: 0.0000 0.5000 0.3668
Pd: 0.0000 0.0000 0.5000
Pd: 0.0000 0.5000 0.1320
Pd: 0.5000 0.0000 0.8680
Nd: 0.5000 0.0000 0.2427
Nd: 0.0000 0.5000 0.7573
Li: 0.5000 0.5000 0.5000

=====

Record 11
## LiNdAlPd2 (PBE)

Data for a relaxed LiNdAlPd2 crystal.

Values from the calculation:
Formation energy from the elements, eV per formula unit: -3.52
Size of the total moment, Bohr magnetons per cell: 0.0
Calculated volume, Å³/atom: 19.1

Cell: 3.9946 3.9946 6.6158 Å, 107.57 107.57 90.00°
Fractional positions:
Al: 0.7500 0.2500 0.5000
Pd: 0.3843 0.3843 0.7687
Pd: 0.6157 0.6157 0.2313
Nd: 0.0000 0.0000 0.0000
Li: 0.2500 0.7500 0.5000

=====

Record 12
## LiPmNdAl (PBE)

Data for a relaxed LiPmNdAl crystal.

Values from the calculation:
Formation energy from the elements, eV per formula unit: -0.77
Size of the total moment, Bohr magnetons per cell: 0.0
Calculated volume, Å³/atom: 26.2

Cell: 5.2926 5.2926 5.2926 Å, 60.00 60.00 60.00°
Fractional positions:
Nd: 0.2500 0.2500 0.2500
Pm: 0.7500 0.7500 0.7500
Li: 0.0000 0.0000 0.0000
Al: 0.5000 0.5000 0.5000

=====

Record 13
## LiPrNdAl (PBE)

Data for a relaxed LiPrNdAl crystal.

Values from the calculation:
Formation energy from the elements, eV per formula unit: -0.75
Size of the total moment, Bohr magnetons per cell: 0.0
Calculated volume, Å³/atom: 26.7

Cell: 5.3286 5.3286 5.3286 Å, 60.00 60.00 60.00°
Fractional positions:
Li: 0.0000 0.0000 0.0000
Nd: 0.2500 0.2500 0.2500
Pr: 0.7500 0.7500 0.7500
Al: 0.5000 0.5000 0.5000

=====

Record 14
## LiNdAlPt (PBE)

Data for a relaxed LiNdAlPt crystal.

Values from the calculation:
Formation energy from the elements, eV per formula unit: -2.68
Size of the total moment, Bohr magnetons per cell: 0.0
Calculated volume, Å³/atom: 19.2
Energy above the most stable polymorph in this dataset, meV per atom: 0

Cell: 4.7678 4.7678 4.7678 Å, 60.00 60.00 60.00°
Fractional positions:
Nd: 0.0000 0.0000 0.0000
Al: 0.5000 0.5000 0.5000
Li: 0.7500 0.7500 0.7500
Pt: 0.2500 0.2500 0.2500

=====

Record 15
## LiNdAl2Pt4 (PBE)

Data for a relaxed LiNdAl2Pt4 crystal.

Values from the calculation:
Formation energy from the elements, eV per formula unit: -8.15
Size of the total moment, Bohr magnetons per cell: 0.0
Calculated volume, Å³/atom: 17.1

Cell: 4.2651 4.2651 9.0069 Å, 76.30 76.30 60.00°
Fractional positions:
Al: 0.7654 0.7654 0.7039
Al: 0.2346 0.2346 0.2961
Pt: 0.8671 0.8671 0.3987
Pt: 0.4049 0.4049 0.7852
Pt: 0.5951 0.5951 0.2148
Pt: 0.1329 0.1329 0.6013
Nd: 0.0000 0.0000 0.0000
Li: 0.5000 0.5000 0.5000

=====

Record 16
## LiNd2Al4Pt3 (PBE)

Data for a relaxed LiNd2Al4Pt3 crystal.

Values from the calculation:
Formation energy from the elements, eV per formula unit: -9.41
Size of the total moment, Bohr magnetons per cell: 0.0
Calculated volume, Å³/atom: 19.4

Cell: 4.2804 4.2804 10.5650 Å, 90.00 90.00 90.00°
Fractional positions:
Al: 0.0000 0.0000 0.0000
Al: 0.0000 0.5000 0.3703
Al: 0.5000 0.5000 0.0000
Al: 0.5000 0.0000 0.6297
Nd: 0.0000 0.5000 0.7555
Nd: 0.5000 0.0000 0.2445
Pt: 0.5000 0.0000 0.8673
Pt: 0.0000 0.0000 0.5000
Pt: 0.0000 0.5000 0.1327
Li: 0.5000 0.5000 0.5000

=====

Record 17
## LiNdAlPt2 (PBE)

Data for a relaxed LiNdAlPt2 crystal.

Values from the calculation:
Formation energy from the elements, eV per formula unit: -4.81
Size of the total moment, Bohr magnetons per cell: 0.0
Calculated volume, Å³/atom: 18.9

Cell: 3.9458 3.9458 6.6785 Å, 107.18 107.18 90.00°
Fractional positions:
Pt: 0.6156 0.6156 0.2311
Pt: 0.3844 0.3844 0.7689
Nd: 0.0000 0.0000 0.0000
Li: 0.2500 0.7500 0.5000
Al: 0.7500 0.2500 0.5000

=====

Record 18
## LiNdAlPt (PBE)

Data for a relaxed LiNdAlPt crystal.

Values from the calculation:
Formation energy from the elements, eV per formula unit: -2.09
Size of the total moment, Bohr magnetons per cell: 0.0
Calculated volume, Å³/atom: 20.7
Energy above the most stable polymorph in this dataset, meV per atom: 147

Cell: 4.0753 3.6889 5.8192 Å, 108.48 90.00 90.00°
Fractional positions:
Al: 0.0000 0.9323 0.8647
Nd: 0.5000 0.2169 0.4338
Pt: 0.0000 0.6019 0.2037
Li: 0.5000 0.4767 0.9534

=====

Record 19
## LiNd2Al3Pt4 (PBE)

Data for a relaxed LiNd2Al3Pt4 crystal.

Values from the calculation:
Formation energy from the elements, eV per formula unit: -10.26
Size of the total moment, Bohr magnetons per cell: 0.0
Calculated volume, Å³/atom: 19.1

Cell: 4.2714 4.2714 10.4702 Å, 90.00 90.00 90.00°
Fractional positions:
Al: 0.0000 0.0000 0.5000
Al: 0.5000 0.0000 0.8742
Al: 0.0000 0.5000 0.1258
Nd: 0.5000 0.0000 0.2487
Nd: 0.0000 0.5000 0.7513
Li: 0.5000 0.5000 0.5000
Pt: 0.0000 0.5000 0.3643
Pt: 0.0000 0.0000 0.0000
Pt: 0.5000 0.5000 0.0000
Pt: 0.5000 0.0000 0.6357

=====

Record 20
## LiNdAlPt3 (PBE)

Data for a relaxed LiNdAlPt3 crystal.

Values from the calculation:
Formation energy from the elements, eV per formula unit: -4.40
Size of the total moment, Bohr magnetons per cell: 0.0
Calculated volume, Å³/atom: 18.2

Cell: 5.8009 6.4621 6.6570 Å, 119.04 90.00 90.00°
Fractional positions:
Nd: 0.2500 0.7037 0.4075
Nd: 0.7500 0.2963 0.5925
Al: 0.2500 0.3736 0.7473
Al: 0.7500 0.6264 0.2527
Pt: 0.5000 0.2762 0.0000
Pt: 0.0000 0.2762 0.0000
Pt: 0.0000 0.7238 0.0000
Pt: 0.2500 0.1656 0.3312
Pt: 0.5000 0.7238 0.0000
Pt: 0.7500 0.8344 0.6688
Li: 0.2500 0.9404 0.8808
Li: 0.7500 0.0596 0.1192